Compound: AlZn2PbAu4
Source: the Alexandria database
Functional: GGA-PBE
Structure: optimized geometry

```
data_AlZn2PbAu4
_cell_length_a 4.4634
_cell_length_b 4.4634
_cell_length_c 26.8287
_cell_angle_alpha 90.00
_cell_angle_beta 90.00
_cell_angle_gamma 120.00
_space_group_name_H-M_alt 'R -3 m'
_space_group_IT_number 166
_space_group_name_Hall '-R 3 2"'
loop_
_atom_site_label
_atom_site_type_symbol
_atom_site_fract_x
_atom_site_fract_y
_atom_site_fract_z
Al1 Al 0.0000 0.0000 0.0000
Zn1 Zn 0.0000 0.0000 0.2563
Pb1 Pb 0.0000 0.0000 0.5000
Au1 Au 0.0000 0.0000 0.0995
Au2 Au 0.0000 0.0000 0.3653
```

Properties
- Total DFT energy (no corrections): -3.061 eV per atom
- Magnetization: 0.000 μB per atom

---

Compound: TlSb4Cl
Source: the Alexandria database
Functional: GGA-PBE
Structure: optimized geometry

```
data_TlSb4Cl
_cell_length_a 9.2980
_cell_length_b 9.2980
_cell_length_c 9.2980
_cell_angle_alpha 90.00
_cell_angle_beta 90.00
_cell_angle_gamma 90.00
_space_group_name_H-M_alt 'F -4 3 m'
_space_group_IT_number 216
_space_group_name_Hall 'F -4 2 3'
loop_
_atom_site_label
_atom_site_type_symbol
_atom_site_fract_x
_atom_site_fract_y
_atom_site_fract_z
Tl1 Tl 0.0000 0.0000 0.0000
Sb1 Sb 0.1095 0.1095 0.3905
Cl1 Cl 0.2500 0.2500 0.7500
```

Properties
- Total DFT energy (no corrections): -3.501 eV per atom
- Magnetization: 0.000 μB per atom
- Raw formation energy: -0.0503 eV per atom

---

Compound: NaScC
Source: the Alexandria database
Functional: GGA-PBE
Structure: optimized geometry

```
data_NaScC
_cell_length_a 6.0306
_cell_length_b 3.4829
_cell_length_c 11.8225
_cell_angle_alpha 90.00
_cell_angle_beta 100.03
_cell_angle_gamma 90.00
_space_group_name_H-M_alt 'C 1 m 1'
_space_group_IT_number 8
_space_group_name_Hall 'C -2y'
loop_
_atom_site_label
_atom_site_type_symbol
_atom_site_fract_x
_atom_site_fract_y
_atom_site_fract_z
Na1 Na 0.0000 0.0000 0.0000
Na2 Na 0.2423 0.0000 0.7097
Sc1 Sc 0.3309 0.5000 0.4812
Sc2 Sc 0.4270 0.0000 0.2750
C1 C 0.0295 0.5000 0.5744
C2 C 0.1192 0.0000 0.3498
```

Properties
- Excess energy over the best structure of this formula in the dataset: 0.317 eV/atom
- Total DFT energy (no corrections): -5.451 eV per atom
- Magnetization: 0.234 μB per atom

---

Compound: NaZnCoGe2
Source: the Alexandria database
Functional: GGA-PBE
Structure: optimized geometry

```
data_NaZnCoGe2
_cell_length_a 4.5419
_cell_length_b 4.5419
_cell_length_c 4.7158
_cell_angle_alpha 90.00
_cell_angle_beta 90.00
_cell_angle_gamma 90.00
_space_group_name_H-M_alt 'P 4/m m m'
_space_group_IT_number 123
_space_group_name_Hall '-P 4 2'
loop_
_atom_site_label
_atom_site_type_symbol
_atom_site_fract_x
_atom_site_fract_y
_atom_site_fract_z
Na1 Na 0.0000 0.0000 0.0000
Zn1 Zn 0.5000 0.5000 0.0000
Co1 Co 0.5000 0.5000 0.5000
Ge1 Ge 0.0000 0.5000 0.5000
```

Properties
- Total DFT energy (no corrections): -3.773 eV per atom
- Magnetization: 0.000 μB per atom